<a>
Density functional theory data (PBE-GGA) for a relaxed structure of AlAg2Cl.

a b c (Å): 3.335 5.541 8.319
angles (deg): 90.00 90.00 90.00
Space group Cmmm (No. 65)
Symmetry-distinct sites (fractional):
Al: 0.000 0.000 0.000 (multiplicity 2)
Ag: 0.000 0.500 0.243 (multiplicity 4)
Cl: 0.000 0.000 0.500 (multiplicity 2)

=====

<b>
Density functional theory data (PBE-GGA) for a relaxed structure of AlAg2Cl.

a b c (Å): 3.005 4.638 5.599
angles (deg): 90.00 90.00 90.00
Space group Pmmm (No. 47)
Symmetry-distinct sites (fractional):
Al: 0.000 0.000 0.000 (multiplicity 1)
Ag: 0.000 0.500 0.500 (multiplicity 1)
Ag: 0.500 0.500 0.000 (multiplicity 1)
Cl: 0.500 0.000 0.500 (multiplicity 1)

=====

So which one wins? Going from most stable to least: <a>, <b>.

=====

<a>
Density functional theory data (PBE-GGA) for a relaxed structure of AlAg2Cl.

a b c (Å): 3.057 5.410 9.494
angles (deg): 90.00 90.00 90.00
Space group Imm2 (No. 44)
Symmetry-distinct sites (fractional):
Al: 0.000 0.000 0.000 (multiplicity 2)
Ag: 0.000 0.000 0.502 (multiplicity 2)
Ag: 0.000 0.500 0.274 (multiplicity 2)
Cl: 0.000 0.500 0.695 (multiplicity 2)

=====

<b>
Density functional theory data (PBE-GGA) for a relaxed structure of AlAg2Cl.

a b c (Å): 3.085 3.085 8.319
angles (deg): 90.00 90.00 90.00
Space group P4mm (No. 99)
Symmetry-distinct sites (fractional):
Al: 0.000 0.000 0.000 (multiplicity 1)
Ag: 0.000 0.000 0.555 (multiplicity 1)
Ag: 0.500 0.500 0.789 (multiplicity 1)
Cl: 0.500 0.500 0.202 (multiplicity 1)

=====

<c>
Density functional theory data (PBE-GGA) for a relaxed structure of AlAg2Cl.

a b c (Å): 3.823 3.823 11.251
angles (deg): 90.00 90.00 90.00
Space group I-4m2 (No. 119)
Symmetry-distinct sites (fractional):
Al: 0.000 0.000 0.000 (multiplicity 2)
Ag: 0.000 0.000 0.500 (multiplicity 2)
Ag: 0.000 0.500 0.250 (multiplicity 2)
Cl: 0.000 0.500 0.750 (multiplicity 2)

=====

So which one wins? Going from most stable to least: <b>, <a>, <c>.

=====

<a>
Density functional theory data (PBE-GGA) for a relaxed structure of AlAg2Cl.

a b c (Å): 6.918 6.918 6.918
angles (deg): 90.00 90.00 90.00
Space group F-43m (No. 216)
Symmetry-distinct sites (fractional):
Al: 0.000 0.000 0.000 (multiplicity 4)
Ag: 0.000 0.000 0.500 (multiplicity 4)
Ag: 0.250 0.250 0.250 (multiplicity 4)
Cl: 0.250 0.250 0.750 (multiplicity 4)

=====

<b>
Density functional theory data (PBE-GGA) for a relaxed structure of AlAg2Cl.

a b c (Å): 3.217 5.400 9.093
angles (deg): 90.00 90.00 90.00
Space group Cmm2 (No. 35)
Symmetry-distinct sites (fractional):
Al: 0.000 0.000 0.000 (multiplicity 2)
Ag: 0.000 0.000 0.480 (multiplicity 2)
Ag: 0.000 0.500 0.228 (multiplicity 2)
Cl: 0.000 0.500 0.801 (multiplicity 2)

=====

<c>
Density functional theory data (PBE-GGA) for a relaxed structure of AlAg2Cl.

a b c (Å): 2.972 5.168 5.106
angles (deg): 90.00 90.11 90.00
Space group Pm (No. 6)
Symmetry-distinct sites (fractional):
Al: 0.000 0.000 0.000 (multiplicity 1)
Ag: 0.500 0.000 0.500 (multiplicity 1)
Ag: 0.999 0.500 0.501 (multiplicity 1)
Cl: 0.997 0.500 0.001 (multiplicity 1)

=====

<d>
Density functional theory data (PBE-GGA) for a relaxed structure of AlAg2Cl.

a b c (Å): 3.2042 3.2042 26.5171
angles (deg): 90.00 90.00 120.00
Space group R3m (No. 160, hexagonal axes)
Symmetry-distinct sites (fractional):
Al: 0.0000 0.0000 0.0000 (multiplicity 3)
Ag: 0.0000 0.0000 0.2628 (multiplicity 3)
Ag: 0.0000 0.0000 0.5137 (multiplicity 3)
Cl: 0.0000 0.0000 0.7304 (multiplicity 3)

=====

So which one wins? Going from most stable to least: <d>, <b>, <c>, <a>.

=====

<a>
Density functional theory data (PBE-GGA) for a relaxed structure of AlAg2Cl.

a b c (Å): 4.001 4.001 9.951
angles (deg): 90.00 90.00 90.00
Space group I4/mmm (No. 139)
Symmetry-distinct sites (fractional):
Al: 0.000 0.000 0.000 (multiplicity 2)
Ag: 0.000 0.500 0.250 (multiplicity 4)
Cl: 0.000 0.000 0.500 (multiplicity 2)

=====

<b>
Density functional theory data (PBE-GGA) for a relaxed structure of AlAg2Cl.

a b c (Å): 10.781 3.100 5.262
angles (deg): 90.00 118.40 90.00
Space group C2/m (No. 12)
Symmetry-distinct sites (fractional):
Al: 0.000 0.000 0.000 (multiplicity 2)
Ag: 0.230 0.500 0.228 (multiplicity 4)
Cl: 0.000 0.500 0.500 (multiplicity 2)

=====

So which one wins? Going from most stable to least: <b>, <a>.

=====

<a>
Density functional theory data (PBE-GGA) for a relaxed structure of AlAg3Cl6.

a b c (Å): 10.833 13.153 7.618
angles (deg): 90.00 90.00 90.00
Space group Cmc2_1 (No. 36)
Symmetry-distinct sites (fractional):
Al: 0.000 0.173 0.000 (multiplicity 4)
Ag: 0.000 0.453 0.383 (multiplicity 4)
Ag: 0.212 0.094 0.388 (multiplicity 8)
Cl: 0.000 0.007 0.010 (multiplicity 4)
Cl: 0.000 0.222 0.275 (multiplicity 4)
Cl: 0.164 0.222 0.867 (multiplicity 8)
Cl: 0.167 0.496 0.635 (multiplicity 8)

=====

<b>
Density functional theory data (PBE-GGA) for a relaxed structure of AlAg3Cl6.

a b c (Å): 6.661 6.666 11.929
angles (deg): 90.00 122.08 90.00
Space group P2_1/c (No. 14)
Symmetry-distinct sites (fractional):
Al: 0.000 0.000 0.000 (multiplicity 2)
Ag: 0.259 0.044 0.760 (multiplicity 4)
Ag: 0.500 0.000 0.500 (multiplicity 2)
Cl: 0.070 0.206 0.420 (multiplicity 4)
Cl: 0.250 0.670 0.448 (multiplicity 4)
Cl: 0.327 0.080 0.215 (multiplicity 4)

=====

So which one wins? Going from most stable to least: <a>, <b>.

=====

<a>
Density functional theory data (PBE-GGA) for a relaxed structure of AlAgCl3.

a b c (Å): 5.077 5.077 5.077
angles (deg): 90.00 90.00 90.00
Space group Pm-3m (No. 221)
Symmetry-distinct sites (fractional):
Al: 0.000 0.000 0.000 (multiplicity 1)
Ag: 0.500 0.500 0.500 (multiplicity 1)
Cl: 0.000 0.500 0.500 (multiplicity 3)

=====

<b>
Density functional theory data (PBE-GGA) for a relaxed structure of AlAgCl3.

a b c (Å): 4.838 4.838 4.838
angles (deg): 90.00 90.00 90.00
Space group Pm-3m (No. 221)
Symmetry-distinct sites (fractional):
Al: 0.000 0.000 0.000 (multiplicity 1)
Ag: 0.500 0.500 0.500 (multiplicity 1)
Cl: 0.000 0.000 0.500 (multiplicity 3)

=====

So which one wins? Going from most stable to least: <b>, <a>.